SrZn4Ge3, optimized geometry, DFT GGA-PBE; V = 160 Å³/cell; symmetry = P4/mmm; formation energy = -1.7 eV/f.u.
1.0
4.496 0.000 0.000
0.000 4.496 0.000
0.000 0.000 7.930
Sr Zn Ge
1 4 3
Direct
0.000 0.000 0.000 Sr
0.000 0.500 0.325 Zn
0.000 0.500 0.675 Zn
0.500 0.000 0.325 Zn
0.500 0.000 0.675 Zn
0.000 0.000 0.500 Ge
0.500 0.500 0.159 Ge
0.500 0.500 0.841 Ge

SrZn3Ge, optimized geometry, DFT GGA-PBE; distance to the lowest polymorph of the same formula = 358.3 meV/atom; V = 126 Å³/cell; symmetry = Pm-3m; formation energy = 0.5 eV/f.u.
1.0
5.010 0.000 0.000
0.000 5.010 0.000
0.000 0.000 5.010
Sr Zn Ge
1 3 1
Direct
0.000 0.000 0.000 Sr
0.000 0.500 0.500 Zn
0.500 0.000 0.500 Zn
0.500 0.500 0.000 Zn
0.500 0.500 0.500 Ge

Sr2ZnGe2, optimized geometry, DFT GGA-PBE; V = 258 Å³/cell; symmetry = C2/m; formation energy = -2.6 eV/f.u.
1.0
5.565 -2.376 0.000
5.565 2.376 0.000
-5.471 0.000 9.743
Sr Zn Ge
4 2 4
Direct
0.012 0.012 0.331 Sr
0.187 0.187 0.106 Sr
0.813 0.813 0.894 Sr
0.988 0.988 0.669 Sr
0.280 0.280 0.647 Zn
0.720 0.720 0.353 Zn
0.361 0.361 0.448 Ge
0.488 0.488 0.115 Ge
0.512 0.512 0.885 Ge
0.639 0.639 0.552 Ge

Sr2Zn3Ge, optimized geometry, DFT GGA-PBE; V = 302 Å³/cell; symmetry = Fmmm; formation energy = -2.2 eV/f.u.
1.0
0.000 4.535 7.775
4.283 0.000 7.775
4.283 4.535 0.000
Sr Zn Ge
4 6 2
Direct
0.240 0.760 0.760 Sr
0.250 0.250 0.250 Sr
0.750 0.750 0.750 Sr
0.760 0.240 0.240 Sr
0.169 0.169 0.831 Zn
0.172 0.662 0.338 Zn
0.338 0.828 0.172 Zn
0.662 0.172 0.828 Zn
0.828 0.338 0.662 Zn
0.831 0.831 0.169 Zn
0.335 0.335 0.665 Ge
0.665 0.665 0.335 Ge

Sr3ZnGe, optimized geometry, DFT GGA-PBE; distance to the lowest polymorph of the same formula = 0.0 meV/atom; V = 347 Å³/cell; symmetry = Cm; formation energy = -1.4 eV/f.u.
1.0
8.859 -2.032 0.000
8.859 2.032 0.000
-0.755 0.000 9.637
Sr Zn Ge
6 2 2
Direct
0.000 0.000 0.000 Sr
0.150 0.150 0.589 Sr
0.356 0.356 0.755 Sr
0.507 0.507 0.344 Sr
0.707 0.707 0.004 Sr
0.800 0.800 0.341 Sr
0.539 0.539 0.733 Zn
0.967 0.967 0.611 Zn
0.142 0.142 0.251 Ge
0.365 0.365 0.093 Ge

Sr2Zn5Ge3, optimized geometry, DFT GGA-PBE; distance to the lowest polymorph of the same formula = 0.0 meV/atom; V = 411 Å³/cell; symmetry = Ibam; formation energy = -3.6 eV/f.u.
1.0
-5.444 6.191 3.049
5.444 -6.191 3.049
5.444 6.191 -3.049
Sr Zn Ge
4 10 6
Direct
0.124 0.244 0.368 Sr
0.376 0.744 0.120 Sr
0.624 0.256 0.880 Sr
0.876 0.756 0.632 Sr
0.011 0.750 0.261 Zn
0.130 0.873 0.003 Zn
0.250 0.750 0.500 Zn
0.370 0.373 0.743 Zn
0.489 0.750 0.739 Zn
0.511 0.250 0.261 Zn
0.630 0.627 0.257 Zn
0.750 0.250 0.500 Zn
0.870 0.127 0.997 Zn
0.989 0.250 0.739 Zn
0.123 0.640 0.763 Ge
0.250 0.250 0.000 Ge
0.377 0.140 0.517 Ge
0.623 0.860 0.483 Ge
0.750 0.750 0.000 Ge
0.877 0.360 0.237 Ge

Sr4Zn3Ge, optimized geometry, DFT GGA-PBE; V = 250 Å³/cell; symmetry = Pmm2; formation energy = -2.5 eV/f.u.
1.0
4.513 0.000 0.000
0.000 4.673 0.000
0.000 0.000 11.851
Sr Zn Ge
4 3 1
Direct
0.000 0.000 0.000 Sr
0.000 0.500 0.484 Sr
0.500 0.000 0.706 Sr
0.500 0.500 0.210 Sr
0.000 0.500 0.797 Zn
0.500 0.000 0.405 Zn
0.500 0.500 0.908 Zn
0.000 0.000 0.281 Ge

SrZnGe2, optimized geometry, DFT GGA-PBE; V = 210 Å³/cell; symmetry = Amm2; formation energy = -0.7 eV/f.u.
1.0
4.322 0.000 0.000
0.000 6.144 0.000
0.000 0.000 7.926
Sr Zn Ge
2 2 4
Direct
0.000 0.000 0.000 Sr
0.000 0.500 0.500 Sr
0.500 0.000 0.578 Zn
0.500 0.500 0.078 Zn
0.500 0.196 0.290 Ge
0.500 0.304 0.790 Ge
0.500 0.696 0.790 Ge
0.500 0.804 0.290 Ge

Sr2ZnGe, optimized geometry, DFT GGA-PBE; distance to the lowest polymorph of the same formula = 1020.6 meV/atom; V = 320 Å³/cell; symmetry = Immm; formation energy = 2.3 eV/f.u.
1.0
3.845 0.000 0.000
0.000 6.637 0.000
0.000 0.000 12.525
Sr Zn Ge
4 2 2
Direct
0.000 0.000 0.249 Sr
0.000 0.000 0.751 Sr
0.500 0.500 0.251 Sr
0.500 0.500 0.749 Sr
0.000 0.000 0.000 Zn
0.500 0.500 0.500 Zn
0.000 0.000 0.500 Ge
0.500 0.500 0.000 Ge

Sr2ZnGe, optimized geometry, DFT GGA-PBE; distance to the lowest polymorph of the same formula = 0.0 meV/atom; V = 243 Å³/cell; symmetry = P2_1/m; formation energy = -1.8 eV/f.u.
1.0
6.540 0.000 0.000
0.000 4.501 0.000
-2.965 0.000 8.243
Sr Zn Ge
4 2 2
Direct
0.210 0.250 0.425 Sr
0.222 0.250 0.933 Sr
0.778 0.750 0.067 Sr
0.790 0.750 0.575 Sr
0.381 0.750 0.223 Zn
0.619 0.250 0.777 Zn
0.362 0.750 0.715 Ge
0.638 0.250 0.285 Ge

Sr2Zn3Ge, optimized geometry, DFT GGA-PBE; V = 154 Å³/cell; symmetry = Pmm2; formation energy = -2.2 eV/f.u.
1.0
4.360 0.000 0.000
0.000 4.545 0.000
0.000 0.000 7.766
Sr Zn Ge
2 3 1
Direct
0.000 0.000 0.000 Sr
0.500 0.000 0.479 Sr
0.000 0.500 0.319 Zn
0.000 0.500 0.650 Zn
0.500 0.500 0.829 Zn
0.500 0.500 0.154 Ge

Sr3Zn4Ge2, optimized geometry, DFT GGA-PBE; V = 226 Å³/cell; symmetry = C2/m; formation energy = -3.8 eV/f.u.
1.0
5.859 -2.221 0.000
5.859 2.221 0.000
-2.006 0.000 8.685
Sr Zn Ge
3 4 2
Direct
0.000 0.000 0.000 Sr
0.331 0.331 0.338 Sr
0.669 0.669 0.662 Sr
0.051 0.051 0.385 Zn
0.278 0.278 0.940 Zn
0.722 0.722 0.060 Zn
0.949 0.949 0.615 Zn
0.391 0.391 0.726 Ge
0.609 0.609 0.274 Ge

Sr2Zn5Ge, optimized geometry, DFT GGA-PBE; V = 350 Å³/cell; symmetry = Cmcm; formation energy = -2.4 eV/f.u.
1.0
2.323 -8.277 0.000
2.323 8.277 0.000
0.000 0.000 9.090
Sr Zn Ge
4 10 2
Direct
0.000 0.000 0.000 Sr
0.000 0.000 0.500 Sr
0.202 0.798 0.750 Sr
0.798 0.202 0.250 Sr
0.186 0.814 0.109 Zn
0.186 0.814 0.391 Zn
0.349 0.651 0.017 Zn
0.349 0.651 0.483 Zn
0.405 0.595 0.750 Zn
0.595 0.405 0.250 Zn
0.651 0.349 0.517 Zn
0.651 0.349 0.983 Zn
0.814 0.186 0.609 Zn
0.814 0.186 0.891 Zn
0.440 0.560 0.250 Ge
0.560 0.440 0.750 Ge

Sr3Zn3Ge2, optimized geometry, DFT GGA-PBE; V = 429 Å³/cell; symmetry = Cmcm; formation energy = -3.3 eV/f.u.
1.0
2.183 -5.925 0.000
2.183 5.925 0.000
0.000 0.000 16.588
Sr Zn Ge
6 6 4
Direct
0.068 0.932 0.750 Sr
0.356 0.644 0.591 Sr
0.356 0.644 0.909 Sr
0.644 0.356 0.091 Sr
0.644 0.356 0.409 Sr
0.932 0.068 0.250 Sr
0.076 0.924 0.556 Zn
0.076 0.924 0.944 Zn
0.219 0.781 0.250 Zn
0.781 0.219 0.750 Zn
0.924 0.076 0.056 Zn
0.924 0.076 0.444 Zn
0.351 0.649 0.114 Ge
0.351 0.649 0.386 Ge
0.649 0.351 0.614 Ge
0.649 0.351 0.886 Ge

SrZn3Ge, optimized geometry, DFT GGA-PBE; distance to the lowest polymorph of the same formula = 0.0 meV/atom; V = 209 Å³/cell; symmetry = C2/m; formation energy = -1.3 eV/f.u.
1.0
11.478 -2.112 0.000
11.478 2.112 0.000
-0.774 0.000 4.320
Sr Zn Ge
2 6 2
Direct
0.091 0.091 0.331 Sr
0.909 0.909 0.669 Sr
0.207 0.207 0.910 Zn
0.288 0.288 0.541 Zn
0.474 0.474 0.227 Zn
0.526 0.526 0.773 Zn
0.712 0.712 0.459 Zn
0.793 0.793 0.090 Zn
0.357 0.357 0.115 Ge
0.643 0.643 0.885 Ge

Sr3ZnGe, optimized geometry, DFT GGA-PBE; distance to the lowest polymorph of the same formula = 194.2 meV/atom; V = 226 Å³/cell; symmetry = Pm-3m; formation energy = -0.4 eV/f.u.
1.0
6.094 0.000 0.000
0.000 6.094 0.000
0.000 0.000 6.094
Sr Zn Ge
3 1 1
Direct
0.000 0.000 0.500 Sr
0.000 0.500 0.000 Sr
0.500 0.000 0.000 Sr
0.500 0.500 0.500 Zn
0.000 0.000 0.000 Ge

Sr2ZnGe6, optimized geometry, DFT GGA-PBE; V = 417 Å³/cell; symmetry = C2/m; formation energy = -2.8 eV/f.u.
1.0
4.178 -4.425 0.000
4.178 4.425 0.000
-2.128 0.000 11.273
Sr Zn Ge
4 2 12
Direct
0.166 0.667 0.668 Sr
0.333 0.834 0.332 Sr
0.667 0.166 0.668 Sr
0.834 0.333 0.332 Sr
0.198 0.198 0.797 Zn
0.802 0.802 0.203 Zn
0.064 0.489 0.108 Ge
0.065 0.065 0.108 Ge
0.143 0.143 0.563 Ge
0.359 0.359 0.432 Ge
0.489 0.064 0.108 Ge
0.490 0.490 0.108 Ge
0.510 0.510 0.892 Ge
0.511 0.936 0.892 Ge
0.641 0.641 0.568 Ge
0.857 0.857 0.437 Ge
0.935 0.935 0.892 Ge
0.936 0.511 0.892 Ge

SrZn2Ge2, optimized geometry, DFT GGA-PBE; V = 208 Å³/cell; symmetry = P4/nmm; formation energy = -1.9 eV/f.u.
1.0
4.392 0.000 0.000
0.000 4.392 0.000
0.000 0.000 10.803
Sr Zn Ge
2 4 4
Direct
0.250 0.250 0.249 Sr
0.750 0.750 0.751 Sr
0.250 0.250 0.634 Zn
0.250 0.750 0.000 Zn
0.750 0.250 0.000 Zn
0.750 0.750 0.366 Zn
0.250 0.250 0.867 Ge
0.250 0.750 0.500 Ge
0.750 0.250 0.500 Ge
0.750 0.750 0.133 Ge

SrZnGe2, optimized geometry, DFT GGA-PBE; V = 726 Å³/cell; symmetry = Pnma; formation energy = -1.6 eV/f.u.
1.0
14.578 0.000 0.000
0.000 4.411 0.000
0.000 0.000 11.291
Sr Zn Ge
8 8 16
Direct
0.053 0.250 0.247 Sr
0.203 0.750 0.522 Sr
0.297 0.250 0.022 Sr
0.447 0.750 0.747 Sr
0.553 0.250 0.253 Sr
0.703 0.750 0.978 Sr
0.797 0.250 0.478 Sr
0.947 0.750 0.753 Sr
0.054 0.250 0.949 Zn
0.201 0.750 0.814 Zn
0.299 0.250 0.314 Zn
0.446 0.750 0.449 Zn
0.554 0.250 0.551 Zn
0.701 0.750 0.686 Zn
0.799 0.250 0.186 Zn
0.946 0.750 0.051 Zn
0.044 0.250 0.522 Ge
0.108 0.250 0.730 Ge
0.130 0.750 0.027 Ge
0.212 0.750 0.234 Ge
0.288 0.250 0.734 Ge
0.370 0.250 0.527 Ge
0.392 0.750 0.230 Ge
0.456 0.750 0.022 Ge
0.544 0.250 0.978 Ge
0.608 0.250 0.770 Ge
0.630 0.750 0.473 Ge
0.712 0.750 0.266 Ge
0.788 0.250 0.766 Ge
0.870 0.250 0.973 Ge
0.892 0.750 0.270 Ge
0.956 0.750 0.478 Ge

Sr3ZnGe2, optimized geometry, DFT GGA-PBE; V = 729 Å³/cell; symmetry = Pnma; formation energy = -3.0 eV/f.u.
1.0
12.584 0.000 0.000
0.000 4.484 0.000
0.000 0.000 12.919
Sr Zn Ge
12 4 8
Direct
0.063 0.250 0.121 Sr
0.124 0.750 0.559 Sr
0.199 0.250 0.809 Sr
0.301 0.750 0.309 Sr
0.376 0.250 0.059 Sr
0.437 0.750 0.621 Sr
0.563 0.250 0.379 Sr
0.624 0.750 0.941 Sr
0.699 0.250 0.691 Sr
0.801 0.750 0.191 Sr
0.876 0.250 0.441 Sr
0.937 0.750 0.879 Sr
0.131 0.250 0.370 Zn
0.369 0.750 0.870 Zn
0.631 0.250 0.130 Zn
0.869 0.750 0.630 Zn
0.034 0.750 0.317 Ge
0.195 0.750 0.985 Ge
0.305 0.250 0.485 Ge
0.466 0.250 0.817 Ge
0.534 0.750 0.183 Ge
0.695 0.750 0.515 Ge
0.805 0.250 0.015 Ge
0.966 0.250 0.683 Ge